# 1
# DyYPt, optimized geometry, DFT PBE-GGA
data_DyYPt
_space_group_name_H-M_alt 'P 1'
_space_group_IT_number 1
_space_group_name_Hall 'P 1'
_cell_length_a 3.1856
_cell_length_b 3.1856
_cell_length_c 8.3488
_cell_angle_alpha 101.00
_cell_angle_beta 101.00
_cell_angle_gamma 90.00
loop_
_atom_site_label
_atom_site_type_symbol
_atom_site_fract_x
_atom_site_fract_y
_atom_site_fract_z
Y1 Y 0.7864 0.7864 0.5728
Pt1 Pt 0.9505 0.9505 0.9010
Dy1 Dy 0.1131 0.1131 0.2261
# Uncorrected energy (eV per atom): -5.52
# V (Å³/cell): 82
# Energy of formation (meV per atom): 178
# Total moment (μB per atom): 0.00
# Offset from the most stable computed form (kJ/mol of atoms): 100.5


# 2
# CuSb2Cl, optimized geometry, DFT PBE-GGA
data_CuSb2Cl
_space_group_name_H-M_alt 'P 1'
_space_group_IT_number 1
_space_group_name_Hall 'P 1'
_cell_length_a 7.5643
_cell_length_b 7.5643
_cell_length_c 7.5643
_cell_angle_alpha 152.04
_cell_angle_beta 149.81
_cell_angle_gamma 41.61
loop_
_atom_site_label
_atom_site_type_symbol
_atom_site_fract_x
_atom_site_fract_y
_atom_site_fract_z
Sb1 Sb 0.0775 0.0775 0.0000
Sb2 Sb 0.7465 0.2465 0.5000
Cu1 Cu 0.2152 0.7152 0.5000
Cl1 Cl 0.4608 0.4608 0.0000
# Uncorrected energy (eV per atom): -3.59
# V (Å³/cell): 102
# Formation energy from raw total energies (eV/atom): -0.040
# Total moment (μB per atom): 0.00
# Offset from the most stable computed form (kJ/mol of atoms): 10.5


# 3
# AcMgTcH6, optimized geometry, DFT PBE-GGA
data_AcMgTcH6
_space_group_name_H-M_alt 'P 1'
_space_group_IT_number 1
_space_group_name_Hall 'P 1'
_cell_length_a 4.8493
_cell_length_b 4.8493
_cell_length_c 4.7325
_cell_angle_alpha 90.00
_cell_angle_beta 90.00
_cell_angle_gamma 60.00
loop_
_atom_site_label
_atom_site_type_symbol
_atom_site_fract_x
_atom_site_fract_y
_atom_site_fract_z
Ac1 Ac 0.0000 0.0000 0.0000
Mg1 Mg 0.6666 0.6667 0.5000
Tc1 Tc 0.3333 0.3333 0.5000
H1 H 0.0362 0.4815 0.2382
H2 H 0.4815 0.0363 0.7618
H3 H 0.4822 0.4815 0.7618
H4 H 0.0362 0.4823 0.7618
H5 H 0.4815 0.4823 0.2382
H6 H 0.4822 0.0362 0.2382
# Uncorrected energy (eV per atom): -4.37
# V (Å³/cell): 96
# Total moment (μB per atom): 0.00


> What is the formula in the first record?

DyYPt


> Look up the uncorrected energy of the second one.

-3.59 eV per atom


Repeat the third record exactly.
# AcMgTcH6, optimized geometry, DFT PBE-GGA
data_AcMgTcH6
_space_group_name_H-M_alt 'P 1'
_space_group_IT_number 1
_space_group_name_Hall 'P 1'
_cell_length_a 4.8493
_cell_length_b 4.8493
_cell_length_c 4.7325
_cell_angle_alpha 90.00
_cell_angle_beta 90.00
_cell_angle_gamma 60.00
loop_
_atom_site_label
_atom_site_type_symbol
_atom_site_fract_x
_atom_site_fract_y
_atom_site_fract_z
Ac1 Ac 0.0000 0.0000 0.0000
Mg1 Mg 0.6666 0.6667 0.5000
Tc1 Tc 0.3333 0.3333 0.5000
H1 H 0.0362 0.4815 0.2382
H2 H 0.4815 0.0363 0.7618
H3 H 0.4822 0.4815 0.7618
H4 H 0.0362 0.4823 0.7618
H5 H 0.4815 0.4823 0.2382
H6 H 0.4822 0.0362 0.2382
# Uncorrected energy (eV per atom): -4.37
# V (Å³/cell): 96
# Total moment (μB per atom): 0.00